(1)
# Tb2HoEr5Mg PBE-GGA relaxed
data_Tb2HoEr5Mg
_cell_length_a 5.362
_cell_length_b 20.003
_cell_length_c 10.347
_cell_angle_alpha 90.00
_cell_angle_beta 90.00
_cell_angle_gamma 90.00
_symmetry_space_group_name_H-M 'C m c 21'
_symmetry_Int_Tables_number 36
_symmetry_space_group_name_Hall 'C 2c -2'
loop_
_atom_site_label
_atom_site_fract_x
_atom_site_fract_y
_atom_site_fract_z
Tb1 0.000 0.115 0.000
Tb2 0.000 0.115 0.426
Ho1 0.000 0.206 0.713
Er1 0.000 0.013 0.713
Er2 0.000 0.289 0.013
Er3 0.000 0.289 0.412
Er4 0.000 0.383 0.713
Er5 0.000 0.500 0.462
Mg1 0.000 0.405 0.211
# Formation energy from the elements (eV/atom): 0.106
# Crystal system: orthorhombic
# Magnetic moment (μB/f.u.): 0.00


(2)
# Pm6DyTe8 PBE-GGA relaxed
data_Pm6DyTe8
_cell_length_a 12.573
_cell_length_b 12.573
_cell_length_c 12.573
_cell_angle_alpha 90.00
_cell_angle_beta 90.00
_cell_angle_gamma 90.00
_symmetry_space_group_name_H-M 'F m -3 m'
_symmetry_Int_Tables_number 225
_symmetry_space_group_name_Hall '-F 4 2 3'
loop_
_atom_site_label
_atom_site_fract_x
_atom_site_fract_y
_atom_site_fract_z
Pm1 0.000 0.250 0.250
Dy1 0.000 0.000 0.000
Te1 0.000 0.000 0.251
Te2 0.250 0.250 0.250
# Crystal system: cubic
# Magnetic moment (μB/f.u.): 0.00
# Formation energy without anion corrections (eV per atom): -1.44


(3)
# Ac3CdNi PBE-GGA relaxed
data_Ac3CdNi
_cell_length_a 17.467
_cell_length_b 4.142
_cell_length_c 9.280
_cell_angle_alpha 90.00
_cell_angle_beta 91.84
_cell_angle_gamma 90.00
_symmetry_space_group_name_H-M 'C 1 2/m 1'
_symmetry_Int_Tables_number 12
_symmetry_space_group_name_Hall '-C 2y'
loop_
_atom_site_label
_atom_site_fract_x
_atom_site_fract_y
_atom_site_fract_z
Ac1 0.048 0.000 0.285
Ac2 0.110 0.500 0.949
Ac3 0.250 0.000 0.708
Cd1 0.098 0.500 0.568
Ni1 0.218 0.000 0.056
# Formation energy from the elements (eV/atom): -0.208
# Crystal system: monoclinic
# Magnetic moment (μB/f.u.): 0.00
# E above lowest polymorph (eV/f.u.): 0.00


(4)
# SnAs PBE-GGA relaxed
data_SnAs
_cell_length_a 7.873
_cell_length_b 7.873
_cell_length_c 7.873
_cell_angle_alpha 90.00
_cell_angle_beta 90.00
_cell_angle_gamma 90.00
_symmetry_space_group_name_H-M 'P m -3 n'
_symmetry_Int_Tables_number 223
_symmetry_space_group_name_Hall '-P 4n 2 3'
loop_
_atom_site_label
_atom_site_fract_x
_atom_site_fract_y
_atom_site_fract_z
Sn1 0.000 0.250 0.500
As1 0.000 0.500 0.250
# Formation energy from the elements (eV/atom): 0.169
# Crystal system: cubic
# Magnetic moment (μB/f.u.): 0.00


(5)
# RbBeC3 PBE-GGA relaxed
data_RbBeC3
_cell_length_a 4.480
_cell_length_b 4.480
_cell_length_c 4.480
_cell_angle_alpha 90.00
_cell_angle_beta 90.00
_cell_angle_gamma 90.00
_symmetry_space_group_name_H-M 'P m -3 m'
_symmetry_Int_Tables_number 221
_symmetry_space_group_name_Hall '-P 4 2 3'
loop_
_atom_site_label
_atom_site_fract_x
_atom_site_fract_y
_atom_site_fract_z
Rb1 0.000 0.000 0.000
Be1 0.500 0.500 0.500
C1 0.000 0.000 0.500
# Formation energy from the elements (eV/atom): 4.709
# Crystal system: cubic
# Magnetic moment (μB/f.u.): 0.00
# E above lowest polymorph (eV/f.u.): 10.25


(6)
# MgTl2In PBE-GGA relaxed
data_MgTl2In
_cell_length_a 3.375
_cell_length_b 5.656
_cell_length_c 5.798
_cell_angle_alpha 90.00
_cell_angle_beta 94.26
_cell_angle_gamma 90.00
_symmetry_space_group_name_H-M 'P 1 2/m 1'
_symmetry_Int_Tables_number 10
_symmetry_space_group_name_Hall '-P 2y'
loop_
_atom_site_label
_atom_site_fract_x
_atom_site_fract_y
_atom_site_fract_z
Mg1 0.000 0.000 0.000
Tl1 0.234 0.500 0.751
In1 0.500 0.000 0.500
# Formation energy from the elements (eV/atom): 0.026
# Crystal system: monoclinic
# Magnetic moment (μB/f.u.): 0.00